Compound: Ce3PmH
Source: Alexandria
Functional: PBE
Structure: optimized geometry

Cell lengths 4.975, 4.975, 4.975 Å; angles 90.00, 90.00, 90.00 degrees
Fractional positions:
Ce 0.000 0.000 0.500
Ce 0.000 0.500 0.000
Ce 0.500 0.000 0.000
Pm 0.500 0.500 0.500
H 0.000 0.000 0.000

SG = Pm-3m (221)
crystal system = cubic
uncorrected energy = -5.24 eV/atom
total magnetic moment = 2.383 μB per formula unit
Fermi-level density of states = 12.08 states/eV/cell